# 1
Lu2ThSb | GGA-PBE | relaxed

## Properties
The space group is P4/mmm. The density of states at the Fermi level is 3.774 states/eV per cell. The calculation puts the offset from the most stable computed form at 0 meV per atom.

Cell: 3.873 3.873 7.368 Å, 90.00 90.00 90.00°
Fractional positions:
Lu 0.000 0.000 0.220
Lu 0.000 0.000 0.780
Th 0.500 0.500 0.500
Sb 0.500 0.500 0.000

=====

# 2
Lu2ThSb | GGA-PBE | relaxed

## Properties
The space group is R-3m. The density of states at the Fermi level is 11.296 states/eV per cell. The calculation puts the offset from the most stable computed form at 175 meV per atom.

Cell: 3.557 3.557 31.390 Å, 90.00 90.00 120.00°
Fractional positions:
Lu 0.000 0.000 0.244
Lu 0.000 0.000 0.756
Lu 0.333 0.667 0.423
Lu 0.333 0.667 0.911
Lu 0.667 0.333 0.089
Lu 0.667 0.333 0.577
Th 0.000 0.000 0.000
Th 0.333 0.667 0.667
Th 0.667 0.333 0.333
Sb 0.000 0.000 0.500
Sb 0.333 0.667 0.167
Sb 0.667 0.333 0.833

=====

# 3
LuTl2Sb | GGA-PBE | relaxed

## Properties
The space group is R-3m. The density of states at the Fermi level is 10.406 states/eV per cell.

Cell: 3.460 3.460 35.467 Å, 90.00 90.00 120.00°
Fractional positions:
Lu 0.000 0.000 0.000
Lu 0.333 0.667 0.667
Lu 0.667 0.333 0.333
Tl 0.000 0.000 0.088
Tl 0.000 0.000 0.912
Tl 0.333 0.667 0.578
Tl 0.333 0.667 0.755
Tl 0.667 0.333 0.245
Tl 0.667 0.333 0.422
Sb 0.000 0.000 0.500
Sb 0.333 0.667 0.167
Sb 0.667 0.333 0.833

=====

# 4
Lu2TlSb | GGA-PBE | relaxed

## Properties
The space group is P4/mmm. The density of states at the Fermi level is 3.325 states/eV per cell. The calculation puts the offset from the most stable computed form at 0 meV per atom.

Cell: 3.900 3.900 6.887 Å, 90.00 90.00 90.00°
Fractional positions:
Lu 0.000 0.000 0.239
Lu 0.000 0.000 0.761
Tl 0.500 0.500 0.500
Sb 0.500 0.500 0.000

=====

# 5
Lu2TlSb | GGA-PBE | relaxed

## Properties
The space group is R-3m. The density of states at the Fermi level is 7.007 states/eV per cell. The calculation puts the offset from the most stable computed form at 30 meV per atom.

Cell: 4.852 4.852 15.909 Å, 90.00 90.00 120.00°
Fractional positions:
Lu 0.000 0.000 0.247
Lu 0.000 0.000 0.753
Lu 0.333 0.667 0.420
Lu 0.333 0.667 0.914
Lu 0.667 0.333 0.086
Lu 0.667 0.333 0.580
Tl 0.000 0.000 0.500
Tl 0.333 0.667 0.167
Tl 0.667 0.333 0.833
Sb 0.000 0.000 0.000
Sb 0.333 0.667 0.667
Sb 0.667 0.333 0.333

=====

# 6
TmLuSb | GGA-PBE | relaxed

## Properties
The space group is I4mm. The density of states at the Fermi level is 3.434 states/eV per cell.

Cell: 3.892 3.892 10.596 Å, 90.00 90.00 90.00°
Fractional positions:
Tm 0.000 0.000 0.000
Tm 0.500 0.500 0.500
Lu 0.000 0.000 0.310
Lu 0.500 0.500 0.810
Sb 0.000 0.000 0.657
Sb 0.500 0.500 0.157

=====

# 7
TmLuSb | GGA-PBE | relaxed

## Properties
The space group is P3m1. The density of states at the Fermi level is 2.685 states/eV per cell.

Cell: 5.019 5.019 3.817 Å, 90.00 90.00 120.00°
Fractional positions:
Tm 0.000 0.000 0.000
Lu 0.667 0.333 0.533
Sb 0.333 0.667 0.281

=====

# 8
TmLuSb2 | GGA-PBE | relaxed

## Properties
The space group is R-3m. The density of states at the Fermi level is 2.096 states/eV per cell.

Cell: 4.325 4.325 21.178 Å, 90.00 90.00 120.00°
Fractional positions:
Tm 0.000 0.000 0.000
Tm 0.333 0.667 0.667
Tm 0.667 0.333 0.333
Lu 0.000 0.000 0.500
Lu 0.333 0.667 0.167
Lu 0.667 0.333 0.833
Sb 0.000 0.000 0.249
Sb 0.000 0.000 0.751
Sb 0.333 0.667 0.417
Sb 0.333 0.667 0.916
Sb 0.667 0.333 0.084
Sb 0.667 0.333 0.583

=====

How do the records compare in formation energy from raw total energies? In the order shown, they have -42; -25; 15; -47; -44; -56; -37; -101 kJ/mol of atoms.